(1)
Material: La2BeRuI
Method: DFT, PBE-GGA
State: relaxed

extended XYZ file:
```
5
Lattice="5.5148 0.0000 0.0000 0.0000 5.5148 0.0000 0.0000 0.0000 4.4176" Properties=species:S:1:pos:R:3 pbc="T T T"
La 0.0000 2.7574 0.0000
La 2.7574 0.0000 0.0000
Be 0.0000 0.0000 2.2088
Ru 0.0000 0.0000 0.0000
I 2.7574 2.7574 2.2088
```

Output
- E: -5.297 eV/atom
- N(E_F): 3.2 states/eV/cell
- Formation energy without anion corrections: -0.42 eV per atom

***

(2)
Material: SrLiAcPt
Method: DFT, PBE-GGA
State: relaxed

extended XYZ file:
```
16
Lattice="7.6171 0.0000 0.0000 0.0000 7.6171 0.0000 0.0000 0.0000 7.6171" Properties=species:S:1:pos:R:3 pbc="T T T"
Sr 0.0000 0.0000 0.0000
Sr 0.0000 3.8085 3.8085
Sr 3.8085 0.0000 3.8085
Sr 3.8085 3.8085 0.0000
Li 1.9043 1.9043 1.9043
Li 1.9043 5.7128 5.7128
Li 5.7128 1.9043 5.7128
Li 5.7128 5.7128 1.9043
Ac 0.0000 0.0000 3.8085
Ac 0.0000 3.8085 0.0000
Ac 3.8085 0.0000 0.0000
Ac 3.8085 3.8085 3.8085
Pt 1.9043 1.9043 5.7128
Pt 1.9043 5.7128 1.9043
Pt 5.7128 1.9043 1.9043
Pt 5.7128 5.7128 5.7128
```

Output
- E: -3.871 eV/atom
- N(E_F): 17.9 states/eV/cell

***

(3)
Material: TlSnI2Cl
Method: DFT, PBE-GGA
State: relaxed

extended XYZ file:
```
10
Lattice="2.3104 -7.6289 0.0000 2.3104 7.6289 0.0000 0.0000 0.0000 10.8580" Properties=species:S:1:pos:R:3 pbc="T T T"
Tl 2.3104 4.2940 8.1435
Tl 2.3104 -4.2940 2.7145
Sn 2.3104 0.0000 0.0000
Sn 2.3104 0.0000 5.4290
I 2.3104 5.4989 0.6349
I 2.3104 5.4989 4.7941
I 2.3104 -5.4989 6.0639
I 2.3104 -5.4989 10.2231
Cl 2.3104 1.0235 2.7145
Cl 2.3104 -1.0235 8.1435
```

Output
- E: -2.978 eV/atom
- Polymorph energy (0 for the lowest one): 0.00 eV per formula unit
- N(E_F): 0.0 states/eV/cell
- Formation energy without anion corrections: -0.71 eV per atom

***

(4)
Material: Nd8Rh3Br4Cl
Method: DFT, PBE-GGA
State: relaxed

extended XYZ file:
```
16
Lattice="4.1786 2.4125 7.7073 -4.1786 2.4125 7.7073 0.0000 -4.8250 7.7073" Properties=species:S:1:pos:R:3 pbc="T T T"
Nd -2.2190 -1.2811 13.1246
Nd 0.0000 0.0000 5.3480
Nd 0.0000 -2.5623 9.9973
Nd -2.2190 1.2811 9.9973
Nd 2.2190 -1.2811 13.1246
Nd 0.0000 2.5623 13.1246
Nd 0.0000 0.0000 17.7739
Nd 2.2190 1.2812 9.9972
Rh -4.1786 0.0000 11.5609
Rh -2.0893 1.2063 3.8536
Rh 2.0893 1.2063 3.8536
Br 0.0000 0.0000 0.0000
Br -2.0893 -1.2063 7.7073
Br -2.0893 1.2063 15.4146
Br 0.0000 2.4125 7.7073
Cl 0.0000 0.0000 11.5609
```

Output
- E: -5.384 eV/atom
- N(E_F): 7.8 states/eV/cell
- Formation energy without anion corrections: -1.09 eV per atom

***

(5)
Material: ZrSc2Pd
Method: DFT, PBE-GGA
State: relaxed

extended XYZ file:
```
4
Lattice="3.3174 0.0000 0.0000 0.0000 3.3174 0.0000 0.0000 0.0000 7.5379" Properties=species:S:1:pos:R:3 pbc="T T T"
Zr 0.0000 0.0000 0.0000
Sc 1.6587 1.6587 2.1348
Sc 1.6587 1.6587 5.4032
Pd 0.0000 0.0000 3.7690
```

Output
- E: -7.051 eV/atom
- Polymorph energy (0 for the lowest one): 0.00 eV per formula unit
- N(E_F): 4.2 states/eV/cell

***

(6)
Material: Pr12HoEr5
Method: DFT, PBE-GGA
State: relaxed

extended XYZ file:
```
18
Lattice="7.7044 -7.7615 0.0000 7.7044 7.7615 0.0000 0.0000 0.0000 5.1767" Properties=species:S:1:pos:R:3 pbc="T T T"
Pr 5.1746 5.1742 2.5883
Pr 2.5270 0.0000 0.0000
Pr 5.1706 2.5871 0.0000
Pr 10.2342 5.1742 2.5883
Pr 5.1679 0.0000 2.5883
Pr 10.2382 2.5871 0.0000
Pr 5.1706 -2.5871 0.0000
Pr 10.2410 0.0000 2.5883
Pr 5.1746 -5.1742 2.5883
Pr 10.2382 -2.5871 0.0000
Pr 12.8818 0.0000 0.0000
Pr 10.2342 -5.1742 2.5883
Ho 7.7044 0.0000 0.0000
Er 0.0000 0.0000 2.5883
Er 7.7044 5.1728 0.0000
Er 7.7044 2.5881 2.5883
Er 7.7044 -2.5881 2.5883
Er 7.7044 -5.1728 0.0000
```

Output
- E: -4.683 eV/atom
- N(E_F): 29.3 states/eV/cell

***

(7)
Material: Er2SiSe
Method: DFT, PBE-GGA
State: relaxed

extended XYZ file:
```
16
Lattice="4.0832 -8.1213 0.0000 4.0832 8.1213 0.0000 -4.0294 0.0000 5.7830" Properties=species:S:1:pos:R:3 pbc="T T T"
Er -0.9814 3.0485 4.2821
Er 0.9433 1.0181 1.3880
Er -1.0714 -1.0181 4.2796
Er 1.0333 -3.0485 1.3906
Er 3.1037 3.0485 4.3925
Er 5.2084 1.0181 1.5035
Er 3.1937 -1.0181 4.3950
Er 5.1184 -3.0485 1.5009
Si 3.0758 7.0565 1.4458
Si 1.0611 5.0269 4.3373
Si 3.0758 -5.0269 1.4458
Si 1.0611 -7.0565 4.3373
Se 3.0758 2.9996 1.4458
Se 1.0611 0.9710 4.3373
Se 3.0758 -0.9710 1.4458
Se 1.0611 -2.9996 4.3373
```

Output
- E: -5.799 eV/atom
- Polymorph energy (0 for the lowest one): 0.00 eV per formula unit
- N(E_F): 3.2 states/eV/cell
- Formation energy without anion corrections: -1.29 eV per atom

***

(8)
Material: Pm2PrY6Ho
Method: DFT, PBE-GGA
State: relaxed

extended XYZ file:
```
20
Lattice="4.5711 -7.5493 0.0000 4.5711 7.5493 0.0000 -1.5310 0.0000 9.6568" Properties=species:S:1:pos:R:3 pbc="T T T"
Pm 2.1745 0.7558 0.4393
Pm 1.4090 -0.7558 5.2677
Pm 6.2021 0.7558 4.3891
Pm 5.4366 -0.7558 9.2175
Pr 4.1883 7.2498 2.4142
Pr 3.4228 -7.2498 7.2426
Y 2.4027 4.1746 1.7843
Y 3.0984 4.6920 5.3811
Y 3.7473 4.6920 9.1040
Y 3.0950 1.6013 3.6938
Y 5.9740 4.1746 3.0441
Y 5.2817 1.6013 1.1346
Y 2.3295 -1.6013 8.5222
Y 1.6372 -4.1746 6.6127
Y 4.5162 -1.6013 5.9629
Y 3.8639 -4.6920 0.5527
Y 4.5128 -4.6920 4.2757
Y 5.2085 -4.1746 7.8725
Ho 3.4228 1.3944 7.2426
Ho 4.1883 -1.3944 2.4142
```

Output
- E: -5.652 eV/atom
- N(E_F): 30.0 states/eV/cell

***

(9)
Material: Ti3RuRh
Method: DFT, PBE-GGA
State: relaxed

extended XYZ file:
```
5
Lattice="4.6108 0.0000 0.0000 0.0000 4.6108 0.0000 0.0000 0.0000 4.6108" Properties=species:S:1:pos:R:3 pbc="T T T"
Ti 0.0000 0.0000 2.3054
Ti 0.0000 2.3054 0.0000
Ti 2.3054 0.0000 0.0000
Ru 0.0000 0.0000 0.0000
Rh 2.3054 2.3054 2.3054
```

Output
- E: -7.587 eV/atom
- Polymorph energy (0 for the lowest one): 0.00 eV per formula unit
- N(E_F): 10.1 states/eV/cell

***

(10)
Material: Pa2MnPdN5
Method: DFT, PBE-GGA
State: relaxed

extended XYZ file:
```
18
Lattice="1.6488 -6.4556 0.0000 1.6488 6.4556 0.0000 0.0000 0.0000 10.0914" Properties=species:S:1:pos:R:3 pbc="T T T"
Pa 1.6488 5.1937 5.0457
Pa 1.6488 4.4084 1.3192
Pa 1.6488 -4.4084 6.3649
Pa 1.6488 -5.1937 0.0000
Mn 1.6488 3.7852 8.7236
Mn 1.6488 -3.7852 3.6779
Pd 1.6488 0.3909 2.6894
Pd 1.6488 -0.3909 7.7351
N 1.6488 5.4971 8.9955
N 1.6488 2.9187 4.7518
N 1.6488 2.2810 1.6585
N 1.6488 1.7154 8.2954
N 1.6488 0.3138 5.8113
N 1.6488 -0.3138 0.7656
N 1.6488 -1.7154 3.2497
N 1.6488 -2.2810 6.7042
N 1.6488 -2.9187 9.7975
N 1.6488 -5.4971 3.9498
```

Output
- E: -9.020 eV/atom
- N(E_F): 5.9 states/eV/cell
- Formation energy without anion corrections: -0.69 eV per atom

***

(11)
Material: AlCdFe2
Method: DFT, PBE-GGA
State: relaxed

extended XYZ file:
```
16
Lattice="6.1256 0.0000 0.0000 0.0000 6.1256 0.0000 0.0000 0.0000 6.1256" Properties=species:S:1:pos:R:3 pbc="T T T"
Al 0.0000 0.0000 0.0000
Al 0.0000 3.0628 3.0628
Al 3.0628 0.0000 3.0628
Al 3.0628 3.0628 0.0000
Cd 0.0000 0.0000 3.0628
Cd 0.0000 3.0628 0.0000
Cd 3.0628 0.0000 0.0000
Cd 3.0628 3.0628 3.0628
Fe 1.5314 1.5314 1.5314
Fe 1.5314 1.5314 4.5942
Fe 1.5314 4.5942 1.5314
Fe 1.5314 4.5942 4.5942
Fe 4.5942 1.5314 1.5314
Fe 4.5942 1.5314 4.5942
Fe 4.5942 4.5942 1.5314
Fe 4.5942 4.5942 4.5942
```

Output
- E: -5.186 eV/atom
- Polymorph energy (0 for the lowest one): 0.64 eV per formula unit
- N(E_F): 36.1 states/eV/cell

***

(12)
Material: KSrZn3
Method: DFT, PBE-GGA
State: relaxed

extended XYZ file:
```
5
Lattice="5.7090 0.0000 0.0000 0.0000 5.7090 0.0000 0.0000 0.0000 5.7090" Properties=species:S:1:pos:R:3 pbc="T T T"
K 0.0000 0.0000 0.0000
Sr 2.8545 2.8545 2.8545
Zn 0.0000 0.0000 2.8545
Zn 0.0000 2.8545 0.0000
Zn 2.8545 0.0000 0.0000
```

Output
- E: -0.786 eV/atom
- Polymorph energy (0 for the lowest one): 0.44 eV per formula unit
- N(E_F): 3.2 states/eV/cell

***

(13)
Material: LaCdBi
Method: DFT, PBE-GGA
State: relaxed

extended XYZ file:
```
6
Lattice="2.6106 1.5073 8.5901 -2.6106 1.5073 8.5901 0.0000 -3.0145 8.5901" Properties=species:S:1:pos:R:3 pbc="T T T"
La 0.0000 0.0000 2.0194
La 0.0000 0.0000 23.7510
Cd 0.0000 0.0000 8.5857
Cd 0.0000 0.0000 17.1847
Bi 0.0000 0.0000 5.3958
Bi 0.0000 0.0000 20.3746
```

Output
- E: -3.623 eV/atom
- Polymorph energy (0 for the lowest one): 0.49 eV per formula unit
- N(E_F): 8.7 states/eV/cell

***

(14)
Material: Hf2MnIr
Method: DFT, PBE-GGA
State: relaxed

extended XYZ file:
```
16
Lattice="4.1400 0.0000 0.0000 0.0000 4.1400 0.0000 0.0000 0.0000 18.1904" Properties=species:S:1:pos:R:3 pbc="T T T"
Hf 1.0299 1.0350 2.2738
Hf 1.0350 3.0999 6.8214
Hf 1.0350 3.1102 15.9166
Hf 1.0401 1.0350 11.3690
Hf 3.0999 3.1050 11.3690
Hf 3.1050 1.0299 15.9166
Hf 3.1050 1.0401 6.8214
Hf 3.1102 3.1050 2.2738
Mn 0.0000 0.0000 9.0952
Mn 0.0000 2.0700 13.6428
Mn 2.0700 0.0000 4.5476
Mn 2.0700 2.0700 0.0000
Ir 0.0000 0.0000 0.0000
Ir 0.0000 2.0700 4.5476
Ir 2.0700 0.0000 13.6428
Ir 2.0700 2.0700 9.0952
```

Output
- E: -9.186 eV/atom
- Polymorph energy (0 for the lowest one): 3.74 eV per formula unit
- N(E_F): 14.2 states/eV/cell

***

(15)
Material: Tm2Co5Si4
Method: DFT, PBE-GGA
State: relaxed

extended XYZ file:
```
11
Lattice="0.0000 4.5024 6.6067 2.6366 0.0000 6.6067 2.6366 4.5024 0.0000" Properties=species:S:1:pos:R:3 pbc="T T T"
Tm 2.6366 4.5024 1.7295
Tm 2.6366 4.5024 11.4838
Co 1.3183 2.2512 0.0000
Co 1.3183 2.2512 3.3033
Co 1.3183 2.2512 6.6067
Co 2.6366 4.5024 6.6067
Co 3.9549 6.7536 9.9100
Si 2.6366 3.1233 4.8664
Si 2.6366 3.1233 8.3470
Si 2.6366 5.8814 4.8664
Si 2.6366 5.8814 8.3470
```

Output
- E: -6.705 eV/atom
- N(E_F): 5.5 states/eV/cell
- Formation energy without anion corrections: -0.69 eV per atom

***

(16)
Material: Pr2Cu3Ge5
Method: DFT, PBE-GGA
State: relaxed

extended XYZ file:
```
20
Lattice="5.8576 -6.1291 0.0000 5.8576 6.1291 0.0000 -3.2517 0.0000 5.2580" Properties=species:S:1:pos:R:3 pbc="T T T"
Pr 2.0739 1.5297 1.2833
Pr 0.4481 -1.5297 3.9123
Pr 8.0155 1.5297 1.3457
Pr 6.3896 -1.5297 3.9746
Cu 3.2310 4.5139 1.9970
Cu 6.8584 4.5139 0.6320
Cu 5.0447 0.0244 1.3145
Cu 3.4188 -0.0244 3.9435
Cu 1.6051 -4.5139 4.6260
Cu 5.2326 -4.5139 3.2610
Ge 3.4188 6.1201 3.9435
Ge 1.4048 1.3520 4.4935
Ge 3.4188 2.9914 3.9435
Ge 5.0447 2.9521 1.3145
Ge 3.0306 -1.3520 1.8645
Ge 5.4329 1.3520 3.3935
Ge 3.4188 -2.9521 3.9435
Ge 5.0447 -2.9914 1.3145
Ge 7.0587 -1.3520 0.7645
Ge 5.0447 -6.1201 1.3145
```

Output
- E: -4.930 eV/atom
- N(E_F): 6.0 states/eV/cell

***

(17)
Material: CaAsPbO5
Method: DFT, PBE-GGA
State: relaxed

extended XYZ file:
```
16
Lattice="3.5611 -4.7628 0.0000 3.5611 4.7628 0.0000 -2.6863 0.0000 7.3458" Properties=species:S:1:pos:R:3 pbc="T T T"
Ca 1.5463 3.2078 5.5093
Ca 2.8895 -3.2078 1.8364
As 2.8895 3.1055 1.8364
As 1.5463 -3.1055 5.5093
Pb 3.5611 0.0000 0.0000
Pb 2.2179 0.0000 3.6729
O -1.4426 0.5788 6.7386
O 1.6516 2.1042 2.5256
O -0.0994 -0.5788 3.0657
O 1.5463 0.9066 5.5093
O 4.1274 2.1042 1.1473
O 0.3085 -2.1042 6.1985
O 2.8895 -0.9066 1.8364
O 4.5353 0.5788 4.2801
O 2.7842 -2.1042 4.8202
O 5.8784 -0.5788 0.6072
```

Output
- E: -6.039 eV/atom
- Formation energy without anion corrections: -1.65 eV per atom

***

(18)
Material: Pm3Sm2Se6
Method: DFT, PBE-GGA
State: relaxed

extended XYZ file:
```
11
Lattice="2.1132 1.2201 20.5307 -2.1132 1.2201 20.5307 0.0000 -2.4401 20.5307" Properties=species:S:1:pos:R:3 pbc="T T T"
Pm 0.0000 0.0000 0.0000
Pm 0.0000 0.0000 17.1903
Pm 0.0000 0.0000 44.4017
Sm 0.0000 0.0000 27.5418
Sm 0.0000 0.0000 34.0502
Se 0.0000 0.0000 5.1164
Se 0.0000 0.0000 12.1103
Se 0.0000 0.0000 22.2220
Se 0.0000 0.0000 39.3700
Se 0.0000 0.0000 49.4817
Se 0.0000 0.0000 56.4756
```

Output
- E: -5.871 eV/atom
- Polymorph energy (0 for the lowest one): 0.82 eV per formula unit
- N(E_F): 4.5 states/eV/cell
- Formation energy without anion corrections: -1.82 eV per atom

***

(19)
Material: Ba2MoAu
Method: DFT, PBE-GGA
State: relaxed

extended XYZ file:
```
8
Lattice="4.7695 0.0000 0.0000 0.0000 4.7695 0.0000 0.0000 0.0000 11.4658" Properties=species:S:1:pos:R:3 pbc="T T T"
Ba 0.0000 0.0000 0.0000
Ba 0.0000 2.3848 2.8664
Ba 2.3848 0.0000 8.5993
Ba 2.3848 2.3848 5.7329
Mo 0.0000 2.3848 8.5993
Mo 2.3848 0.0000 2.8664
Au 0.0000 0.0000 5.7329
Au 2.3848 2.3848 0.0000
```

Output
- E: -3.866 eV/atom
- Polymorph energy (0 for the lowest one): 1.05 eV per formula unit
- N(E_F): 5.7 states/eV/cell

***

(20)
Material: NbCrSnOs
Method: DFT, PBE-GGA
State: relaxed

extended XYZ file:
```
16
Lattice="6.3675 0.0000 0.0000 0.0000 6.3675 0.0000 0.0000 0.0000 6.3675" Properties=species:S:1:pos:R:3 pbc="T T T"
Nb 0.0000 0.0000 0.0000
Nb 0.0000 3.1838 3.1838
Nb 3.1838 0.0000 3.1838
Nb 3.1838 3.1838 0.0000
Cr 1.5919 1.5919 1.5919
Cr 1.5919 4.7756 4.7756
Cr 4.7756 1.5919 4.7756
Cr 4.7756 4.7756 1.5919
Sn 0.0000 0.0000 3.1838
Sn 0.0000 3.1838 0.0000
Sn 3.1838 0.0000 0.0000
Sn 3.1838 3.1838 3.1838
Os 1.5919 1.5919 4.7756
Os 1.5919 4.7756 1.5919
Os 4.7756 1.5919 1.5919
Os 4.7756 4.7756 4.7756
```

Output
- E: -8.672 eV/atom
- N(E_F): 15.1 states/eV/cell

***

(21)
Material: Ba2SbAuS5
Method: DFT, PBE-GGA
State: relaxed

extended XYZ file:
```
18
Lattice="2.0739 -9.9208 0.0000 2.0739 9.9208 0.0000 0.0000 0.0000 11.7787" Properties=species:S:1:pos:R:3 pbc="T T T"
Ba 2.0739 7.6153 5.8894
Ba 2.0739 7.5528 10.7416
Ba 2.0739 -7.5528 4.8522
Ba 2.0739 -7.6153 0.0000
Sb 2.0739 5.4010 2.4408
Sb 2.0739 -5.4010 8.3301
Au 2.0739 1.0713 7.5635
Au 2.0739 -1.0713 1.6741
S 2.0739 8.1059 2.5604
S 2.0739 4.4510 6.5626
S 2.0739 4.3977 10.0654
S 2.0739 2.8801 2.4328
S 2.0739 0.0140 5.4063
S 2.0739 -0.0140 11.2956
S 2.0739 -2.8801 8.3221
S 2.0739 -4.3977 4.1760
S 2.0739 -4.4510 0.6732
S 2.0739 -8.1059 8.4498
```

Output
- E: -4.489 eV/atom
- N(E_F): 6.0 states/eV/cell
- Formation energy without anion corrections: -0.95 eV per atom

***

(22)
Material: CsTiP2
Method: DFT, PBE-GGA
State: relaxed

extended XYZ file:
```
16
Lattice="7.0487 0.0000 0.0000 0.0000 7.0487 0.0000 0.0000 0.0000 7.0487" Properties=species:S:1:pos:R:3 pbc="T T T"
Cs 0.0000 0.0000 0.0000
Cs 0.0000 3.5243 3.5243
Cs 3.5243 0.0000 3.5243
Cs 3.5243 3.5243 0.0000
Ti 0.0000 0.0000 3.5243
Ti 0.0000 3.5243 0.0000
Ti 3.5243 0.0000 0.0000
Ti 3.5243 3.5243 3.5243
P 1.7622 1.7622 1.7622
P 1.7622 1.7622 5.2865
P 1.7622 5.2865 1.7622
P 1.7622 5.2865 5.2865
P 5.2865 1.7622 1.7622
P 5.2865 1.7622 5.2865
P 5.2865 5.2865 1.7622
P 5.2865 5.2865 5.2865
```

Output
- E: -4.285 eV/atom
- Polymorph energy (0 for the lowest one): 4.21 eV per formula unit
- N(E_F): 6.9 states/eV/cell